# Al3AgC (meta-GGA SCAN, single point on PBEsol structure)
# total energy = -11.349 eV/atom
# D(E_F) = 0.28 states/eV per atom
data_Al3AgC
_cell_length_a 4.719
_cell_length_b 4.719
_cell_length_c 4.719
_cell_angle_alpha 90.00
_cell_angle_beta 90.00
_cell_angle_gamma 90.00
_space_group_name_H-M_alt 'P m -3 m'
_space_group_IT_number 221
_space_group_name_Hall '-P 4 2 3'
loop_
_atom_site_label
_atom_site_type_symbol
_atom_site_fract_x
_atom_site_fract_y
_atom_site_fract_z
_atom_site_occupancy
Al1 Al 0.000 0.000 0.500 1
Ag1 Ag 0.000 0.000 0.000 1
C1 C 0.500 0.500 0.500 1


# AlAg2PdC (meta-GGA SCAN, single point on PBEsol structure)
# total energy = -22.265 eV/atom
# D(E_F) = 0.21 states/eV per atom
data_AlAg2PdC
_cell_length_a 4.272
_cell_length_b 4.272
_cell_length_c 3.900
_cell_angle_alpha 90.00
_cell_angle_beta 90.00
_cell_angle_gamma 90.00
_space_group_name_H-M_alt 'P 4/m m m'
_space_group_IT_number 123
_space_group_name_Hall '-P 4 2'
loop_
_atom_site_label
_atom_site_type_symbol
_atom_site_fract_x
_atom_site_fract_y
_atom_site_fract_z
_atom_site_occupancy
Al1 Al 0.000 0.000 0.000 1
Ag1 Ag 0.000 0.500 0.500 1
Pd1 Pd 0.500 0.500 0.000 1
C1 C 0.000 0.000 0.500 1